DFT (PBE) results for CrCdP2Pb after structural relaxation.

The space group is P4/mmm (No. 123) and the conventional cell measures 4.391, 4.391 and 5.678 Å, with angles of 90.00, 90.00 and 90.00 degrees. Symmetry generates all atoms from Cr at (0.000, 0.000, 0.000), Cd at (0.500, 0.500, 0.500), P at (0.000, 0.500, 0.000) and Pb at (0.000, 0.000, 0.500).

The calculated density comes out at 6.57 Mg/m³. The total DFT energy (no corrections) comes out at -4.7268 eV per atom. For the formation energy from the elements, the calculation gives 1.432 eV per formula unit.


DFT (PBE) results for Cr2CdPPd after structural relaxation.

The space group is P4/mmm (No. 123) and the conventional cell measures 5.103, 5.103 and 4.695 Å, with angles of 90.00, 90.00 and 90.00 degrees. Symmetry generates all atoms from Cr at (0.000, 0.500, 0.000), Cd at (0.000, 0.000, 0.000), P at (0.000, 0.000, 0.500) and Pd at (0.500, 0.500, 0.500).

The calculated density comes out at 4.80 Mg/m³. The total DFT energy (no corrections) comes out at -4.6385 eV per atom. For the formation energy from the elements, the calculation gives 7.572 eV per formula unit.


DFT (PBE) results for CrCdRe2P after structural relaxation.

The space group is P4/mmm (No. 123) and the conventional cell measures 4.443, 4.443 and 4.921 Å, with angles of 90.00, 90.00 and 90.00 degrees. Symmetry generates all atoms from Cr at (0.000, 0.000, 0.000), Cd at (0.000, 0.000, 0.500), Re at (0.000, 0.500, 0.000) and P at (0.500, 0.500, 0.500).

The calculated density comes out at 9.70 Mg/m³. The total DFT energy (no corrections) comes out at -6.4121 eV per atom. For the formation energy from the elements, the calculation gives 8.784 eV per formula unit.


DFT (PBE) results for CrCdP2S after structural relaxation.

The space group is P4/mmm (No. 123) and the conventional cell measures 4.917, 4.917 and 5.014 Å, with angles of 90.00, 90.00 and 90.00 degrees. Symmetry generates all atoms from Cr at (0.000, 0.000, 0.000), Cd at (0.500, 0.500, 0.500), P at (0.000, 0.500, 0.500) and S at (0.500, 0.500, 0.000).

The relative energy among the computed polymorphs is 0.950 eV/atom. The value obtained for the uncorrected formation energy is 1.256 eV per atom. The calculated density comes out at 3.54 Mg/m³. The total DFT energy (no corrections) comes out at -3.8415 eV per atom.


DFT (PBE) results for CrCdPS2 after structural relaxation.

The space group is P4/mmm (No. 123) and the conventional cell measures 4.600, 4.600 and 4.523 Å, with angles of 90.00, 90.00 and 90.00 degrees. Symmetry generates all atoms from Cr at (0.000, 0.000, 0.000), Cd at (0.500, 0.500, 0.500), P at (0.000, 0.000, 0.500) and S at (0.000, 0.500, 0.000).

The relative energy among the computed polymorphs is 0.000 eV/atom. The value obtained for the uncorrected formation energy is 0.207 eV per atom. The calculated density comes out at 4.50 Mg/m³. The total DFT energy (no corrections) comes out at -4.6333 eV per atom.


DFT (PBE) results for CrCdP2S after structural relaxation.

The space group is P4/mmm (No. 123) and the conventional cell measures 4.300, 4.300 and 5.320 Å, with angles of 90.00, 90.00 and 90.00 degrees. Symmetry generates all atoms from Cr at (0.000, 0.000, 0.000), Cd at (0.500, 0.500, 0.500), P at (0.000, 0.500, 0.000) and S at (0.000, 0.000, 0.500).

The relative energy among the computed polymorphs is 0.000 eV/atom. The value obtained for the uncorrected formation energy is 0.306 eV per atom. The calculated density comes out at 4.36 Mg/m³. The total DFT energy (no corrections) comes out at -4.7913 eV per atom.


Copy entry 1 word for word.
DFT (PBE) results for CrCdP2Pb after structural relaxation.

The space group is P4/mmm (No. 123) and the conventional cell measures 4.391, 4.391 and 5.678 Å, with angles of 90.00, 90.00 and 90.00 degrees. Symmetry generates all atoms from Cr at (0.000, 0.000, 0.000), Cd at (0.500, 0.500, 0.500), P at (0.000, 0.500, 0.000) and Pb at (0.000, 0.000, 0.500).

The calculated density comes out at 6.57 Mg/m³. The total DFT energy (no corrections) comes out at -4.7268 eV per atom. For the formation energy from the elements, the calculation gives 1.432 eV per formula unit.